GGA-PBE CrCd2Cu, relaxed; total energy = -3.578 eV per atom; energy of formation from the pure elements = 309 meV per atom; calculated volume = 18.08 Å³ per atom; spin magnetization = 3.9 μB per formula unit; relative energy among the computed polymorphs = 48 meV/atom; density = 7.82 g/cm³
1.0
2.9851 0.0000 0.0000
0.0000 4.2635 0.0000
-1.4675 0.0000 5.6814
Cr Cd Cu
1 2 1
direct
0.0000 0.0000 0.0000
0.3528 0.5000 0.7151
0.7223 0.0000 0.4526
0.5912 0.5000 0.1762